No. 1
Material: Hg2Ir2Br
Method: DFT, PBE-GGA
State: optimized geometry

a b c (Å): 5.396 5.396 7.727
angles (deg): 90.00 90.00 90.00
Atoms (fractional coordinates):
Hg 0.000 0.500 0.250
Hg 0.000 0.500 0.750
Hg 0.500 0.000 0.250
Hg 0.500 0.000 0.750
Ir 0.000 0.000 0.151
Ir 0.000 0.000 0.849
Ir 0.500 0.500 0.349
Ir 0.500 0.500 0.651
Br 0.000 0.000 0.500
Br 0.500 0.500 0.000

The energy relative to the elements, uncorrected comes out at 0.709 eV/atom. The symmetry is I4/mmm. For the energy relative to the lowest polymorph listed for this composition, the calculation gives 18 meV per atom.



No. 2
Material: Ca6H12Rh
Method: DFT, PBE-GGA
State: optimized geometry

a b c (Å): 6.339 6.339 6.339
angles (deg): 97.98 97.98 97.98
Atoms (fractional coordinates):
Ca 0.100 0.790 0.651
Ca 0.210 0.349 0.900
Ca 0.349 0.900 0.210
Ca 0.651 0.100 0.790
Ca 0.790 0.651 0.100
Ca 0.900 0.210 0.349
H 0.039 0.893 0.331
H 0.107 0.669 0.961
H 0.222 0.456 0.521
H 0.331 0.039 0.893
H 0.456 0.521 0.222
H 0.479 0.778 0.544
H 0.521 0.222 0.456
H 0.544 0.479 0.778
H 0.669 0.961 0.107
H 0.778 0.544 0.479
H 0.893 0.331 0.039
H 0.961 0.107 0.669
Rh 0.500 0.500 0.500

The symmetry is R-3. The value obtained for the electronic total energy is -3.5704 eV per atom.



No. 3
Material: PmCd4Hg2
Method: DFT, PBE-GGA
State: optimized geometry

a b c (Å): 4.675 17.879 4.076
angles (deg): 90.00 90.00 90.00
Atoms (fractional coordinates):
Pm 0.000 0.000 0.000
Pm 0.500 0.500 0.000
Cd 0.000 0.175 0.500
Cd 0.000 0.305 0.000
Cd 0.000 0.695 0.000
Cd 0.000 0.825 0.500
Cd 0.500 0.195 0.000
Cd 0.500 0.325 0.500
Cd 0.500 0.675 0.500
Cd 0.500 0.805 0.000
Hg 0.000 0.422 0.500
Hg 0.000 0.578 0.500
Hg 0.500 0.078 0.500
Hg 0.500 0.922 0.500

The symmetry is Cmmm. For the energy relative to the lowest polymorph listed for this composition, the calculation gives 0 meV per atom. The value obtained for the formation enthalpy at 0 K is -0.1643 eV/atom.



No. 4
Material: LaCdGe3
Method: DFT, PBE-GGA
State: optimized geometry

a b c (Å): 5.701 5.701 5.701
angles (deg): 90.00 90.00 90.00
Atoms (fractional coordinates):
La 0.000 0.000 0.000
Cd 0.500 0.500 0.500
Ge 0.000 0.000 0.500
Ge 0.000 0.500 0.000
Ge 0.500 0.000 0.000

The symmetry is Pm-3m. For the energy relative to the lowest polymorph listed for this composition, the calculation gives 615 meV per atom. The value obtained for the formation enthalpy at 0 K is 0.8621 eV/atom.



No. 5
Material: Os4AuCl2
Method: DFT, PBE-GGA
State: optimized geometry

a b c (Å): 4.908 4.908 12.372
angles (deg): 90.00 90.00 90.00
Atoms (fractional coordinates):
Os 0.000 0.000 0.216
Os 0.000 0.000 0.784
Os 0.000 0.500 0.000
Os 0.000 0.500 0.500
Os 0.500 0.000 0.000
Os 0.500 0.000 0.500
Os 0.500 0.500 0.284
Os 0.500 0.500 0.716
Au 0.000 0.000 0.000
Au 0.500 0.500 0.500
Cl 0.000 0.000 0.390
Cl 0.000 0.000 0.610
Cl 0.500 0.500 0.110
Cl 0.500 0.500 0.890

The energy relative to the elements, uncorrected comes out at 2.638 eV/atom. The symmetry is I4/mmm.



No. 6
Material: Zn2PdRu
Method: DFT, PBE-GGA
State: optimized geometry

a b c (Å): 3.016 3.016 6.217
angles (deg): 90.00 90.00 90.00
Atoms (fractional coordinates):
Zn 0.000 0.000 0.247
Zn 0.000 0.000 0.753
Pd 0.500 0.500 0.500
Ru 0.500 0.500 0.000

The symmetry is P4/mmm. The value obtained for the formation enthalpy at 0 K is -0.2141 eV/atom.